Computed, not measured: a relaxed ZrCoN crystal at the PBE level of DFT.

a = 10.764 Å, b = 3.568 Å, c = 4.471 Å
α = 90.00°, β = 114.32°, γ = 90.00°
Atoms (fractional coordinates):
Zr: 0.111 0.000 0.360
Zr: 0.389 0.500 0.640
Zr: 0.611 0.500 0.360
Zr: 0.889 0.000 0.640
Co: 0.166 0.500 0.914
Co: 0.334 0.000 0.086
Co: 0.666 0.000 0.914
Co: 0.834 0.500 0.086
N: 0.108 0.000 0.857
N: 0.392 0.500 0.143
N: 0.608 0.500 0.857
N: 0.892 0.000 0.143

Summary:
Electronic total energy, eV/atom: -8.715
Space-group type: C2/m (12)
ΔE_f (raw), kJ/mol of atoms: -69.69

Computed, not measured: a relaxed CsCuSb3 crystal at the PBE level of DFT.

a = 6.181 Å, b = 6.181 Å, c = 6.181 Å
α = 90.00°, β = 90.00°, γ = 90.00°
Atoms (fractional coordinates):
Cs: 0.000 0.000 0.000
Cu: 0.500 0.500 0.500
Sb: 0.000 0.000 0.500
Sb: 0.000 0.500 0.000
Sb: 0.500 0.000 0.000

Summary:
Energy above the lowest structure with this stoichiometry, eV/atom: 1.702
Electronic total energy, eV/atom: -1.583
Space-group type: Pm-3m (221)
ΔE_f (raw), kJ/mol of atoms: 181.41

Computed, not measured: a relaxed NbCo2Au crystal at the PBE level of DFT.

a = 3.983 Å, b = 3.983 Å, c = 3.504 Å
α = 90.00°, β = 90.00°, γ = 90.00°
Atoms (fractional coordinates):
Nb: 0.000 0.000 0.000
Co: 0.000 0.500 0.500
Co: 0.500 0.000 0.500
Au: 0.500 0.500 0.000

Summary:
Energy above the lowest structure with this stoichiometry, eV/atom: 0.000
Electronic total energy, eV/atom: -6.932
Space-group type: P4/mmm (123)
Formation enthalpy at 0 K, eV per formula unit: -0.17

Computed, not measured: a relaxed PrPaAl2Ga5 crystal at the PBE level of DFT.

a = 4.287 Å, b = 4.287 Å, c = 9.914 Å
α = 90.00°, β = 90.00°, γ = 90.00°
Atoms (fractional coordinates):
Pr: 0.000 0.000 0.000
Pa: 0.000 0.000 0.500
Al: 0.500 0.500 0.379
Al: 0.500 0.500 0.621
Ga: 0.000 0.500 0.233
Ga: 0.000 0.500 0.767
Ga: 0.500 0.000 0.233
Ga: 0.500 0.000 0.767
Ga: 0.500 0.500 0.000

Summary:
Electronic total energy, eV/atom: -4.398
Space-group type: P4/mmm (123)
Formation enthalpy at 0 K, eV per formula unit: -2.69

Computed, not measured: a relaxed MgH12Pd7 crystal at the PBE level of DFT.

a = 5.562 Å, b = 5.601 Å, c = 5.615 Å
α = 88.48°, β = 88.21°, γ = 88.23°
Atoms (fractional coordinates):
Mg: 0.000 0.000 0.000
H: 0.070 0.362 0.868
H: 0.131 0.933 0.639
H: 0.187 0.541 0.414
H: 0.366 0.864 0.067
H: 0.415 0.189 0.544
H: 0.457 0.587 0.811
H: 0.543 0.413 0.189
H: 0.585 0.811 0.456
H: 0.634 0.136 0.933
H: 0.813 0.459 0.586
H: 0.869 0.067 0.361
H: 0.930 0.638 0.132
Pd: 0.070 0.239 0.545
Pd: 0.241 0.547 0.070
Pd: 0.459 0.930 0.760
Pd: 0.500 0.500 0.500
Pd: 0.541 0.070 0.240
Pd: 0.759 0.453 0.930
Pd: 0.930 0.761 0.455

Summary:
Electronic total energy, eV/atom: -3.990
Space-group type: P-1 (2)

Computed, not measured: a relaxed Pu2GaMo crystal at the PBE level of DFT.

a = 6.953 Å, b = 6.953 Å, c = 6.953 Å
α = 90.00°, β = 90.00°, γ = 90.00°
Atoms (fractional coordinates):
Pu: 0.250 0.250 0.250
Pu: 0.250 0.250 0.750
Pu: 0.250 0.750 0.250
Pu: 0.250 0.750 0.750
Pu: 0.750 0.250 0.250
Pu: 0.750 0.250 0.750
Pu: 0.750 0.750 0.250
Pu: 0.750 0.750 0.750
Ga: 0.000 0.000 0.000
Ga: 0.000 0.500 0.500
Ga: 0.500 0.000 0.500
Ga: 0.500 0.500 0.000
Mo: 0.000 0.000 0.500
Mo: 0.000 0.500 0.000
Mo: 0.500 0.000 0.000
Mo: 0.500 0.500 0.500

Summary:
Energy above the lowest structure with this stoichiometry, eV/atom: 0.148
Electronic total energy, eV/atom: -10.473
Space-group type: Fm-3m (225)
Formation enthalpy at 0 K, eV per formula unit: 0.63

Computed, not measured: a relaxed Mg3ZnB crystal at the PBE level of DFT.

a = 4.559 Å, b = 4.559 Å, c = 4.559 Å
α = 90.00°, β = 90.00°, γ = 90.00°
Atoms (fractional coordinates):
Mg: 0.000 0.000 0.500
Mg: 0.000 0.500 0.000
Mg: 0.500 0.000 0.000
Zn: 0.500 0.500 0.500
B: 0.000 0.000 0.000

Summary:
Energy above the lowest structure with this stoichiometry, eV/atom: 0.000
Electronic total energy, eV/atom: -2.351
Space-group type: Pm-3m (221)
Formation enthalpy at 0 K, eV per formula unit: 0.98

Computed, not measured: a relaxed Tb2YEr6 crystal at the PBE level of DFT.

a = 9.494 Å, b = 9.494 Å, c = 6.509 Å
α = 99.44°, β = 99.44°, γ = 96.20°
Atoms (fractional coordinates):
Tb: 0.118 0.166 0.370
Tb: 0.166 0.118 0.870
Tb: 0.834 0.882 0.130
Tb: 0.882 0.834 0.630
Y: 0.381 0.619 0.750
Y: 0.619 0.381 0.250
Er: 0.038 0.439 0.728
Er: 0.148 0.777 0.996
Er: 0.223 0.852 0.504
Er: 0.276 0.456 0.184
Er: 0.439 0.038 0.228
Er: 0.456 0.276 0.684
Er: 0.544 0.724 0.316
Er: 0.561 0.962 0.772
Er: 0.724 0.544 0.816
Er: 0.777 0.148 0.496
Er: 0.852 0.223 0.004
Er: 0.962 0.561 0.272

Summary:
Energy above the lowest structure with this stoichiometry, eV/atom: 0.085
Electronic total energy, eV/atom: -4.682
Space-group type: C2/c (15)
Formation enthalpy at 0 K, eV per formula unit: 0.96

Computed, not measured: a relaxed LaSb2S4 crystal at the PBE level of DFT.

a = 9.128 Å, b = 8.070 Å, c = 7.418 Å
α = 72.08°, β = 57.27°, γ = 50.65°
Atoms (fractional coordinates):
La: 0.125 0.125 0.125
La: 0.875 0.875 0.875
Sb: 0.000 0.500 0.500
Sb: 0.500 0.000 0.500
Sb: 0.500 0.500 0.000
Sb: 0.500 0.500 0.500
S: 0.181 0.745 0.375
S: 0.199 0.375 0.745
S: 0.255 0.819 0.801
S: 0.375 0.199 0.181
S: 0.625 0.801 0.819
S: 0.745 0.181 0.199
S: 0.801 0.625 0.255
S: 0.819 0.255 0.625

Summary:
Energy above the lowest structure with this stoichiometry, eV/atom: 0.000
Electronic total energy, eV/atom: -5.006
Space-group type: Fddd (70)
ΔE_f (raw), kJ/mol of atoms: -73.89

Computed, not measured: a relaxed LaCeZnOs crystal at the PBE level of DFT.

a = 7.165 Å, b = 7.165 Å, c = 7.165 Å
α = 90.00°, β = 90.00°, γ = 90.00°
Atoms (fractional coordinates):
La: 0.000 0.000 0.000
La: 0.000 0.500 0.500
La: 0.500 0.000 0.500
La: 0.500 0.500 0.000
Ce: 0.000 0.000 0.500
Ce: 0.000 0.500 0.000
Ce: 0.500 0.000 0.000
Ce: 0.500 0.500 0.500
Zn: 0.250 0.250 0.250
Zn: 0.250 0.750 0.750
Zn: 0.750 0.250 0.750
Zn: 0.750 0.750 0.250
Os: 0.250 0.250 0.750
Os: 0.250 0.750 0.250
Os: 0.750 0.250 0.250
Os: 0.750 0.750 0.750

Summary:
Electronic total energy, eV/atom: -5.975
Space-group type: F-43m (216)
Formation enthalpy at 0 K, eV per formula unit: -0.53

Computed, not measured: a relaxed MnAg2GeSe4 crystal at the PBE level of DFT.

a = 8.146 Å, b = 7.379 Å, c = 6.924 Å
α = 90.00°, β = 90.00°, γ = 90.00°
Atoms (fractional coordinates):
Mn: 0.000 0.150 0.000
Mn: 0.500 0.850 0.500
Ag: 0.244 0.322 0.524
Ag: 0.256 0.678 0.024
Ag: 0.744 0.678 0.024
Ag: 0.756 0.322 0.524
Ge: 0.000 0.834 0.506
Ge: 0.500 0.166 0.006
Se: 0.000 0.132 0.367
Se: 0.000 0.839 0.855
Se: 0.243 0.669 0.404
Se: 0.257 0.331 0.904
Se: 0.500 0.161 0.355
Se: 0.500 0.868 0.867
Se: 0.743 0.331 0.904
Se: 0.757 0.669 0.404

Summary:
Electronic total energy, eV/atom: -4.438
Space-group type: Pmn2_1 (31)
ΔE_f (raw), kJ/mol of atoms: -25.04

Computed, not measured: a relaxed Cr2TcSb crystal at the PBE level of DFT.

a = 3.846 Å, b = 3.846 Å, c = 8.087 Å
α = 90.00°, β = 90.00°, γ = 90.00°
Atoms (fractional coordinates):
Cr: 0.000 0.000 0.000
Cr: 0.000 0.500 0.250
Cr: 0.500 0.000 0.750
Cr: 0.500 0.500 0.500
Tc: 0.000 0.000 0.500
Tc: 0.500 0.500 0.000
Sb: 0.000 0.500 0.750
Sb: 0.500 0.000 0.250

Summary:
Electronic total energy, eV/atom: -8.150
Space-group type: I-4m2 (119)
ΔE_f (raw), kJ/mol of atoms: 27.40

It is found that the total magnetic moment values, taken in the order of the records, are 0.0; 0.0; 0.0; 0.4; 0.0; 9.3; 0.0; 0.0; 0.0; 0.0; 5.0; 3.3 μB per formula unit.